HfMn2SbO6 | Alexandria | PBE with a Hubbard U | optimized geometry; total DFT energy (no corrections) = -7.77 eV per atom; magnetic moment = 6.96 μB per cell; crystal system = triclinic
1.0
5.352 0.000 0.000
2.562 4.737 0.000
2.596 1.595 4.915
Hf Mn Sb O
1 2 1 6
direct
0.000 0.000 0.000 Hf
0.303 0.313 0.077 Mn
0.794 0.781 0.630 Mn
0.527 0.490 0.458 Sb
0.095 0.388 0.813 O
0.168 0.976 0.275 O
0.383 0.694 0.837 O
0.588 0.173 0.290 O
0.696 0.118 0.796 O
0.942 0.588 0.285 O